1.
## Bi3SbI3 (PBE)

Data for a relaxed Bi3SbI3 crystal.

## Properties
final energy	-2.96	eV per atom
ρ	5.76	g/cm³
calculated volume	46.497	A^3/atom
DOS at the Fermi energy	0.242	states/eV/atom

abc: 10.655 18.368 6.652
angles: 90.00 90.00 90.00
Space group Cmcm (No. 63)
Unique sites:
Bi  0.000  0.091  0.250
Bi  0.145  0.382  0.250
Sb  0.000  0.253  0.250
I  0.000  0.090  0.750
I  0.204  0.408  0.750

***

2.
## Bi4Sb2I3 (PBE)

Data for a relaxed Bi4Sb2I3 crystal.

## Properties
final energy	-3.19	eV per atom
ρ	5.93	g/cm³
calculated volume	45.421	A^3/atom
DOS at the Fermi energy	0.257	states/eV/atom

abc: 15.335 13.674 8.400
angles: 90.00 111.83 90.00
Space group C2/c (No. 15)
Unique sites:
Bi  0.095  0.242  0.448
Bi  0.201  0.107  0.786
Sb  0.249  0.393  0.530
I  0.000  0.001  0.750
I  0.116  0.310  0.980

***

3.
## Bi2SbI (PBE)

Data for a relaxed Bi2SbI crystal.

## Properties
final energy	-3.34	eV per atom
ρ	7.60	g/cm³
calculated volume	36.425	A^3/atom
DOS at the Fermi energy	0.142	states/eV/atom

abc: 6.520 6.522 7.515
angles: 88.62 88.53 65.82
Space group P-1 (No. 2)
Unique sites:
Bi  0.103  0.170  0.047
Bi  0.330  0.397  0.453
Sb  0.456  0.044  0.750
I  0.000  0.000  0.500
I  0.500  0.500  0.000

***

4.
## Bi2Sb2I (PBE)

Data for a relaxed Bi2Sb2I crystal.

## Properties
final energy	-3.47	eV per atom
ρ	7.15	g/cm³
calculated volume	36.611	A^3/atom
DOS at the Fermi energy	0.611	states/eV/atom

abc: 5.358 5.358 12.752
angles: 90.00 90.00 90.00
Space group I4/mmm (No. 139)
Unique sites:
Bi  0.000  0.500  0.250
Sb  0.000  0.000  0.126
I  0.000  0.000  0.500